# Cs2TaNiF PBE with a Hubbard U relaxed
# Total magnetic moment ... 3.2 μB per cell
# Electronic total energy ... -14.82 eV per cell
# Volume ... 39.05 A^3/atom
# D(E_F) ... 1.31 states/eV per atom
data_Cs2TaNiF
_chemical_formula_sum 'Cs2 Ta1 Ni1 F1'
_symmetry_space_group_name_H-M 'P 4/m m m'
_symmetry_Int_Tables_number 123
_symmetry_space_group_name_Hall '-P 4 2'
_cell_length_a 6.472
_cell_length_b 6.472
_cell_length_c 4.662
_cell_angle_alpha 90.00
_cell_angle_beta 90.00
_cell_angle_gamma 90.00
loop_
_atom_site_label
_atom_site_fract_x
_atom_site_fract_y
_atom_site_fract_z
_atom_site_occupancy
Cs1 0.000 0.500 0.000 1
Ta1 0.000 0.000 0.500 1
Ni1 0.000 0.000 0.000 1
F1 0.500 0.500 0.500 1